Entry 1:
## Tm3FeBi (PBE-GGA)

Data for a geometry-optimized Tm3FeBi structure.

Geometry as POSCAR:
```
Tm3FeBi
1.0
-2.143 -2.850 -3.634
4.571 -1.879 -1.222
-0.657 -3.778 3.350
Tm Bi Fe
3 1 1
Cartesian
2.286 -0.940 -0.611
-0.329 -1.889 1.675
-1.072 -1.425 -1.817
0.885 -4.253 -0.754
0.000 0.000 0.000
```

Values from the calculation:
crystal system = cubic
formation enthalpy at 0 K = -180 meV per atom
energy above the lowest structure with this stoichiometry = 187.5 meV per atom

---

Entry 2:
## NaAsHAu2 (PBE-GGA)

Data for a geometry-optimized NaAsHAu2 structure.

Geometry as POSCAR:
```
NaAsHAu2
1.0
5.148 0.000 0.000
0.000 5.148 0.000
0.000 0.000 3.572
Na As Au H
1 1 2 1
Cartesian
2.574 2.574 1.786
0.000 0.000 0.000
0.000 2.574 0.000
2.574 0.000 0.000
0.000 0.000 1.786
```

Values from the calculation:
crystal system = tetragonal
energy above the lowest structure with this stoichiometry = 0.0 meV per atom

---

Entry 3:
## Nd4ErTm15 (PBE-GGA)

Data for a geometry-optimized Nd4ErTm15 structure.

Geometry as POSCAR:
```
Nd4ErTm15
1.0
4.993 0.000 0.000
0.000 4.993 0.000
0.000 0.000 24.872
Nd Er Tm
4 1 15
Cartesian
0.000 0.000 4.957
0.000 0.000 9.937
0.000 0.000 14.935
0.000 0.000 19.915
0.000 0.000 0.000
2.497 2.497 0.000
2.497 2.497 4.939
2.497 2.497 9.942
2.497 2.497 14.931
2.497 2.497 19.933
2.497 0.000 2.442
2.497 0.000 7.441
2.497 0.000 12.436
2.497 0.000 17.431
2.497 0.000 22.431
0.000 2.497 2.442
0.000 2.497 7.441
0.000 2.497 12.436
0.000 2.497 17.431
0.000 2.497 22.431
```

Values from the calculation:
crystal system = tetragonal
formation enthalpy at 0 K = 28 meV per atom

---

Entry 4:
## Nd2Er6Tm5 (PBE-GGA)

Data for a geometry-optimized Nd2Er6Tm5 structure.

Geometry as POSCAR:
```
Nd2Er6Tm5
1.0
3.550 0.000 0.000
0.000 11.601 0.000
0.000 0.000 19.977
Nd Er Tm
4 12 10
Cartesian
0.000 3.891 5.680
0.000 7.710 14.297
0.000 9.692 4.309
0.000 1.909 15.669
0.000 0.933 7.307
0.000 10.668 12.670
0.000 6.734 2.682
0.000 4.867 17.296
1.775 3.739 2.512
1.775 7.862 17.465
1.775 9.540 7.476
1.775 2.061 12.501
0.000 6.481 8.428
0.000 5.121 11.550
0.000 0.680 1.561
0.000 10.921 18.416
1.775 3.485 8.977
1.775 8.116 11.000
1.775 9.285 1.011
1.775 2.316 18.966
1.775 6.908 5.549
1.775 4.693 14.428
1.775 1.108 4.439
1.775 10.494 15.538
1.775 5.801 0.000
1.775 0.000 9.989
```

Values from the calculation:
crystal system = orthorhombic
formation enthalpy at 0 K = 103 meV per atom